A relaxed structure of Sm8Te4PtS3. Source: the Alexandria database, functional PBE.

a = 8.4196 Å, b = 8.6362 Å, c = 8.4199 Å
α = 119.18°, β = 120.00°, γ = 90.00°
Positions (direct):
Te (0.5000, 0.0000, 0.5000)
Te (0.0000, 0.0000, 0.5000)
Te (0.5000, 0.0000, 0.0000)
Te (0.0000, 0.0000, 0.0000)
Sm (0.7623, 0.2856, 0.5247)
Sm (0.2377, 0.7144, 0.9768)
Sm (0.2640, 0.2920, 0.5280)
Sm (0.2609, 0.2856, 0.0232)
Sm (0.2377, 0.7144, 0.4753)
Sm (0.7391, 0.7144, 0.9768)
Sm (0.7623, 0.2856, 0.0232)
Sm (0.7360, 0.7080, 0.4720)
S (0.5000, 0.5000, 0.0000)
S (0.0000, 0.5000, 0.5000)
S (0.5000, 0.5000, 0.5000)
Pt (0.0000, 0.5000, 0.0000)

Results
**Symmetry**: R-3m, No. 166
**ΔE_f (raw)**: -155.0 kJ per mole of atoms